DFT (PBE-GGA) results for a relaxed Tm2InO4 crystal.

a b c (Å): 6.6994 6.6994 6.6994
angles (deg): 60.00 60.00 60.00
Last column: nearest neighbours and their distance in Å.
Fractional coordinates of all 14 atoms:
Tm: 0.0000 0.0000 0.0000  6 O 2.24
Tm: 0.0000 0.0000 0.5000  6 O 2.24
Tm: 0.0000 0.5000 0.0000  6 O 2.24
Tm: 0.5000 0.0000 0.0000  6 O 2.24
In: 0.3750 0.3750 0.3750  4 O 2.28
In: 0.6250 0.6250 0.6250  4 O 2.28
O: 0.2076 0.7642 0.7642  3 Tm 2.24, 1 In 2.28
O: 0.2358 0.2358 0.2358  3 Tm 2.24, 1 In 2.28
O: 0.2358 0.2358 0.7924  3 Tm 2.24, 1 In 2.28
O: 0.2358 0.7924 0.2358  3 Tm 2.24, 1 In 2.28
O: 0.7642 0.2076 0.7642  3 Tm 2.24, 1 In 2.28
O: 0.7642 0.7642 0.2076  3 Tm 2.24, 1 In 2.28
O: 0.7642 0.7642 0.7642  3 Tm 2.24, 1 In 2.28
O: 0.7924 0.2358 0.2358  3 Tm 2.24, 1 In 2.28

Calculated values
- volume (Å³/cell) = 212.6
- raw total energy (eV per atom) = -7.30